1.
# Pm8Rh3CI4

A geometry-optimized Pm8Rh3CI4 structure (PBE, Alexandria).

The structure belongs to space group R-3m (No. 166, hexagonal axes); the cell edges are 8.2256, 8.2256 and 24.0287 Å and the angles 90.00°, 90.00° and 120.00°. The distinct sites, in fractional coordinates, are Pm at (0.0000, 0.0000, 0.2299), Pm at (0.0193, 0.5096, 0.2249), Rh at (0.0000, 0.5000, 0.5000), C at (0.0000, 0.0000, 0.5000), I at (0.0000, 0.0000, 0.0000) and I at (0.0000, 0.5000, 0.0000).

For the energy relative to the elements, uncorrected, the calculation gives -0.833 eV/atom.

***

2.
# NaCa6

A geometry-optimized NaCa6 structure (PBE, Alexandria).

The structure belongs to space group Im-3m (No. 229); the cell edges are 10.099, 10.099 and 10.099 Å and the angles 90.00°, 90.00° and 90.00°. The distinct sites, in fractional coordinates, are Na at (0.000, 0.000, 0.000) and Ca at (0.000, 0.250, 0.500).

The value obtained for the energy of formation is 0.910 eV/atom. The relative energy among the computed polymorphs comes out at 0.874 eV per atom.

***

3.
# Cs2BaAcI6

A geometry-optimized Cs2BaAcI6 structure (PBE, Alexandria).

The structure belongs to space group Pmmn (No. 59, origin choice 2); the cell edges are 9.063, 13.326 and 9.854 Å and the angles 90.00°, 90.00° and 90.00°. The distinct sites, in fractional coordinates, are Cs at (0.250, 0.049, 0.190), Ba at (0.250, 0.250, 0.715), Ac at (0.250, 0.750, 0.782), I at (0.003, 0.750, 0.025), I at (0.012, 0.250, 0.445) and I at (0.250, 0.504, 0.780).

For the energy relative to the elements, uncorrected, the calculation gives -1.466 eV/atom.